GdCrTeO6 | GGA+U | relaxed

Calculated values
energy above the lowest structure with this stoichiometry	0	meV per atom
DFT total energy	-146.03	eV/cell
theoretical density	6.141	g cm⁻³

Unit cell a=5.2055 b=5.2055 c=9.9756 alpha=90.00 beta=90.00 gamma=120.00
With the nearest neighbours (Å) after each atom.
Space group P-31c (No. 163)
One atom of each set of equivalent atoms:
Gd: 0.0000 0.0000 0.0000  6 O 2.35
Cr: 0.3333 0.6667 0.2500  6 O 2.02
Te: 0.3333 0.6667 0.7500  6 O 1.95
O: 0.0097 0.3676 0.8590  1 Te 1.95, 1 Cr 2.02